[1]
A geometry-optimized SmSiPd structure, computed with PBE.

Values from the calculation:
- symmetry = Pnma, No. 62
- E_form (uncorrected) (eV/f.u.) = -2.8
- D(E_F) (states/eV per cell) = 7.97

```
SmSiPd
1.0
4.380 0.000 0.000
0.000 7.200 0.000
0.000 0.000 7.540
Si Sm Pd
4 4 4
Cartesian
1.095 2.202 3.098
3.285 1.398 6.868
1.095 5.802 0.673
3.285 4.998 4.443
1.095 7.179 5.283
3.285 3.621 1.513
3.285 0.021 2.258
1.095 3.579 6.028
1.095 1.370 0.622
3.285 5.830 6.919
3.285 2.230 4.392
1.095 4.970 3.149
```



[2]
A geometry-optimized SmSi3Pd3 structure, computed with PBE.

Values from the calculation:
- symmetry = Pm-3n, No. 223
- E_form (uncorrected) (eV/f.u.) = -2.8
- D(E_F) (states/eV per cell) = 9.79

```
SmSi3Pd3
1.0
6.588 0.000 0.000
0.000 6.588 0.000
0.000 0.000 6.588
Pd Si Sm
6 6 2
Cartesian
4.941 0.000 3.294
3.294 4.941 0.000
1.647 0.000 3.294
3.294 1.647 0.000
0.000 3.294 4.941
0.000 3.294 1.647
4.941 3.294 0.000
0.000 4.941 3.294
3.294 0.000 4.941
1.647 3.294 0.000
0.000 1.647 3.294
3.294 0.000 1.647
0.000 0.000 0.000
3.294 3.294 3.294
```



[3]
A geometry-optimized SmSiPd2 structure, computed with PBE.

Values from the calculation:
- symmetry = Pmmm, No. 47
- E_form (uncorrected) (eV/f.u.) = -2.7
- D(E_F) (states/eV per cell) = 2.13

```
SmSiPd2
1.0
4.060 0.000 0.000
0.000 3.716 0.330
0.000 -0.486 5.430
Si Pd Sm
1 2 1
Cartesian
2.030 -0.243 2.715
0.000 -0.121 1.368
0.000 3.350 4.393
2.030 1.858 0.165
```



[4]
A geometry-optimized SmSiPd structure, computed with PBE.

Values from the calculation:
- symmetry = C2/m, No. 12
- E_form (uncorrected) (eV/f.u.) = -2.7
- D(E_F) (states/eV per cell) = 3.61

```
SmSiPd
1.0
-1.668 -3.537 -1.867
4.047 -3.882 -1.290
-1.143 -4.072 3.707
Si Sm Pd
2 2 2
Cartesian
0.195 -5.062 -0.643
1.042 -6.430 1.194
-0.119 -3.819 2.312
1.356 -7.673 -1.761
0.321 -2.572 -0.444
0.915 -8.920 0.994
```



[5]
A geometry-optimized SmSi3Pd10 structure, computed with PBE.

Values from the calculation:
- symmetry = Fm-3m, No. 225
- E_form (uncorrected) (eV/f.u.) = -9.6
- D(E_F) (states/eV per cell) = 16.97

```
SmSi3Pd10
1.0
2.031 -8.321 -1.437
8.073 -2.152 -2.369
5.173 -4.228 5.549
Si Pd Sm
6 20 2
Cartesian
8.798 -8.818 -1.328
5.002 -7.806 -0.214
10.275 -6.894 1.957
7.434 -9.794 2.395
7.843 -4.906 -0.652
6.479 -5.882 3.071
7.014 -7.095 -1.487
6.171 -3.513 2.823
3.113 -6.912 0.968
8.463 -5.208 1.735
1.332 -5.457 -0.942
9.600 -6.648 -0.422
6.814 -9.493 0.008
5.294 -1.411 -1.554
4.091 -5.636 3.145
8.263 -7.605 3.230
5.677 -8.052 2.165
5.877 -5.655 0.671
7.075 -2.867 0.356
5.993 -4.276 -2.048
2.779 -0.741 -0.816
0.699 -2.864 -0.494
1.781 -1.455 1.910
4.111 -6.197 -1.758
3.392 -2.772 3.639
9.400 -9.045 1.073
3.819 -3.675 0.436
11.458 -11.025 1.307
```



[6]
A geometry-optimized Sm2SiPd structure, computed with PBE.

Values from the calculation:
- symmetry = R-3m, No. 166
- E_form (uncorrected) (eV/f.u.) = -2.2
- D(E_F) (states/eV per cell) = 1.41

```
Sm2SiPd
1.0
4.302 0.000 0.000
2.151 3.725 0.000
2.151 1.242 6.585
Si Sm Pd
1 2 1
Cartesian
4.302 2.483 3.293
2.151 1.242 1.677
6.452 3.725 4.908
0.000 0.000 0.000
```



[7]
A geometry-optimized SmSi2Pd2 structure, computed with PBE.

Values from the calculation:
- symmetry = I4/mmm, No. 139
- E_form (uncorrected) (eV/f.u.) = -4.7
- D(E_F) (states/eV per cell) = 3.32

```
SmSi2Pd2
1.0
-3.381 -1.223 -4.563
1.810 -4.016 -3.787
-0.586 0.509 5.757
Si Sm Pd
2 1 2
Cartesian
-0.971 -3.237 -5.160
-0.600 -2.002 -3.191
0.000 0.000 0.000
-2.376 -1.667 -1.491
0.219 -3.063 -1.103
```



[8]
A geometry-optimized Sm4Si2Pd structure, computed with PBE.

Values from the calculation:
- symmetry = R-3m, No. 166
- E_form (uncorrected) (eV/f.u.) = -3.9
- D(E_F) (states/eV per cell) = 6.50

```
Sm4Si2Pd
1.0
4.897 0.000 0.000
2.449 4.241 0.000
2.449 1.414 8.947
Pd Sm Si
1 4 2
Cartesian
0.000 0.000 0.000
2.449 1.414 3.460
4.897 2.827 1.206
7.346 4.241 5.487
4.897 2.827 7.741
7.346 4.241 2.473
2.449 1.414 6.475
```



[9]
A geometry-optimized Sm3Si3Pd structure, computed with PBE.

Values from the calculation:
- symmetry = Imm2, No. 44
- E_form (uncorrected) (eV/f.u.) = -5.7
- D(E_F) (states/eV per cell) = 5.85

```
Sm3Si3Pd
1.0
-3.874 0.270 -1.082
-0.229 -4.264 -0.244
-0.424 1.627 9.437
Pd Sm Si
1 3 3
Cartesian
-2.153 -0.321 7.632
-1.676 -2.365 5.411
-0.013 -0.002 0.045
-2.848 -0.001 2.689
-0.826 -2.238 2.399
-3.694 -0.127 5.688
-2.372 -2.045 0.471
```



[10]
A geometry-optimized SmSi2Pd structure, computed with PBE.

Values from the calculation:
- symmetry = Amm2, No. 38
- E_form (uncorrected) (eV/f.u.) = -2.1
- D(E_F) (states/eV per cell) = 1.95

```
SmSi2Pd
1.0
-0.178 3.439 -2.055
-3.012 -1.924 -2.960
-3.073 1.666 3.053
Pd Si Sm
1 2 1
Cartesian
-3.138 1.993 -0.307
-4.244 0.831 -2.155
-1.995 0.927 -2.190
-3.013 -1.910 -2.935
```



[11]
A geometry-optimized Sm2Si4Pd5 structure, computed with PBE.

Values from the calculation:
- symmetry = Fmmm, No. 69
- E_form (uncorrected) (eV/f.u.) = -8.3
- D(E_F) (states/eV per cell) = 8.04

```
Sm2Si4Pd5
1.0
-3.461 -3.705 2.802
-0.297 -5.443 -1.576
3.498 -3.411 5.798
Pd Si Sm
5 4 2
Cartesian
-0.995 -7.206 4.213
-1.730 -1.853 1.401
0.735 -5.353 2.812
-0.149 -2.721 -0.788
-1.879 -4.574 0.613
0.707 -5.809 5.169
0.111 -3.263 1.810
-0.967 -6.750 1.856
-0.370 -9.297 5.214
-1.984 -4.146 4.044
2.021 -2.971 4.556
```



[12]
A geometry-optimized Sm4SiPd3 structure, computed with PBE.

Values from the calculation:
- symmetry = Pmm2, No. 25
- E_form (uncorrected) (eV/f.u.) = -6.4
- D(E_F) (states/eV per cell) = 6.48

```
Sm4SiPd3
1.0
-1.447 -3.217 1.865
3.698 -2.195 -0.916
4.378 3.464 9.372
Sm Pd Si
4 3 1
Cartesian
0.608 0.481 1.301
5.619 1.885 7.612
2.701 -1.460 3.847
2.067 0.599 6.906
3.324 1.593 9.597
4.411 0.930 5.026
1.821 1.441 3.899
1.463 -2.439 1.197
```